Entry 1:
A relaxed K2NpSnCl8 crystal. Source: Alexandria, functional PBE-GGA.

```
12
Lattice="7.107 -0.154 -0.004 -0.176 6.802 -0.008 0.005 0.010 8.802" Properties=species:S:1:pos:R:3 pbc="T T T"
Cl 4.837 5.108 -0.008
Np 0.000 0.000 0.000
Cl 2.131 1.676 4.398
K 3.467 3.326 2.234
Cl 4.806 4.983 4.392
Cl 0.877 5.394 6.827
K 3.469 3.332 6.557
Cl 2.100 1.551 8.799
Cl 0.875 5.389 1.961
Cl 6.062 1.270 6.829
Sn 0.002 0.005 4.401
Cl 6.060 1.264 1.964
```

Summary:
N(E_F): 3.3 states/eV/f.u.
Uncorrected formation energy: -19.1 eV/f.u.
ρ: 2.802 Mg/m³
Total magnetic moment: 3.00 μB/f.u.



Entry 2:
A relaxed Li6Zn3Rh crystal. Source: Alexandria, functional PBE-GGA.

```
20
Lattice="7.012 0.637 0.651 0.484 7.024 0.651 0.484 0.495 7.037" Properties=species:S:1:pos:R:3 pbc="T T T"
Zn 0.857 1.491 4.714
Li 6.649 2.454 2.877
Li 5.671 5.428 1.575
Zn 3.320 7.197 6.743
Li 3.778 3.413 1.844
Rh 0.000 0.000 0.000
Zn 7.124 6.664 3.624
Zn 4.660 0.958 1.595
Li 1.686 3.816 3.453
Li 1.331 5.701 5.461
Li 4.202 4.742 6.494
Li 5.303 1.446 5.821
Li 3.330 1.758 3.891
Li 2.310 2.728 6.763
Rh 3.990 4.078 4.169
Li 6.295 4.340 4.885
Li 2.677 6.709 2.518
Li 4.650 6.397 4.447
Zn 1.472 4.694 0.993
Zn 6.508 3.462 7.345
```

Summary:
N(E_F): 4.6 states/eV/f.u.
Calculated formation energy: -0.580 eV/f.u.
ρ: 3.326 Mg/m³
Total magnetic moment: 0.00 μB/f.u.



Entry 3:
A relaxed KPtO3 crystal. Source: Alexandria, functional PBE-GGA.

```
5
Lattice="-0.510 3.859 -0.920 -3.700 -0.128 1.514 1.431 1.044 3.586" Properties=species:S:1:pos:R:3 pbc="T T T"
Pt 0.000 0.000 0.000
O 0.716 0.522 1.793
O -0.255 1.929 -0.460
O -1.850 -0.064 0.757
K -1.390 2.388 2.090
```

Summary:
N(E_F): 2.7 states/eV/f.u.
Uncorrected formation energy: -2.6 eV/f.u.
ρ: 7.322 Mg/m³
Total magnetic moment: 1.83 μB/f.u.



Entry 4:
A relaxed MgGaSeBr2 crystal. Source: Alexandria, functional PBE-GGA.

```
5
Lattice="5.305 0.000 0.000 0.000 5.305 0.000 0.000 0.000 5.210" Properties=species:S:1:pos:R:3 pbc="T T T"
Br 2.653 0.000 0.000
Ga 2.653 2.653 2.605
Se 0.000 0.000 2.605
Br 0.000 2.653 0.000
Mg 0.000 0.000 0.000
```

Summary:
N(E_F): 3.6 states/eV/f.u.
Uncorrected formation energy: -2.8 eV/f.u.
ρ: 3.768 Mg/m³
Total magnetic moment: 0.97 μB/f.u.